[1]
Be6Ru7: relaxed, PBE-GGA.

abc: 4.9800 4.9800 24.5270
angles: 90.00 90.00 120.00
Closest atoms and distances in Å follow each position.
Space group R-3m (No. 166, hexagonal axes)
Inequivalent atoms, fractional coordinates:
Be (0.0000, 0.0000, 0.0635) x6  1 Be 2.40, 6 Ru 2.53
Be (0.0000, 0.0000, 0.1614) x6  1 Be 2.40, 3 Ru 2.64
Be (0.0000, 0.0000, 0.3359) x6  6 Ru 2.41-2.49
Ru (0.0000, 0.0000, 0.5000) x3  6 Ru 2.56
Ru (0.0052, 0.5026, 0.9191) x18  5 Be 2.41-2.64, 5 Ru 2.45-2.56

E_form, eV/f.u.: 5.20


[2]
HoCu6Sn6: relaxed, PBE-GGA.

abc: 5.5744 9.0327 9.7663
angles: 90.00 90.00 90.00
Closest atoms and distances in Å follow each position.
Space group Immm (No. 71)
Inequivalent atoms, fractional coordinates:
Ho (0.0000, 0.0000, 0.0000) x2  8 Sn 3.06-3.24
Cu (0.0000, 0.2491, 0.5000) x4  6 Sn 2.77-2.90, 4 Cu 2.81
Cu (0.2500, 0.2500, 0.2500) x8  6 Sn 2.77-2.92, 4 Cu 2.79-2.81
Sn (0.0000, 0.0000, 0.3320) x4  6 Cu 2.77-2.78
Sn (0.0000, 0.3386, 0.0000) x4  6 Cu 2.90-2.92, 1 Sn 2.92, 1 Ho 3.06
Sn (0.0000, 0.5000, 0.3362) x4  6 Cu 2.77-2.78

E_form, eV/f.u.: -1.01


[3]
Zn2CdCu: relaxed, PBE-GGA.

abc: 6.2916 6.2916 6.2916
angles: 90.00 90.00 90.00
Closest atoms and distances in Å follow each position.
Space group F-43m (No. 216)
Inequivalent atoms, fractional coordinates:
Zn (0.0000, 0.0000, 0.0000) x4  4 Cu 2.72, 4 Zn 2.72
Zn (0.2500, 0.2500, 0.2500) x4  4 Cd 2.72, 4 Zn 2.72
Cd (0.0000, 0.0000, 0.5000) x4  4 Cu 2.72, 4 Zn 2.72
Cu (0.2500, 0.2500, 0.7500) x4  4 Cd 2.72, 4 Zn 2.72

E_form, eV/f.u.: 0.37


[4]
SiAu: relaxed, PBE-GGA.

abc: 6.5313 6.5313 6.5313
angles: 90.00 90.00 90.00
Closest atoms and distances in Å follow each position.
Space group Fd-3m (No. 227, origin choice 2)
Inequivalent atoms, fractional coordinates:
Si (0.1250, 0.1250, 0.1250) x8  4 Si 2.83, 4 Au 2.83
Au (0.1250, 0.1250, 0.6250) x8  4 Si 2.83, 4 Au 2.83

E_form (uncorrected), eV per formula unit: 0.91


no.,ρ (Mg/m³),density of states at the Fermi level (states/eV per atom)
1,7.2,0.7466
2,8.5,0.2491
3,8.2,0.4256
4,10.7,0.8004